[1]
DFT (PBE) results for an optimized crystal structure of AlP2Pd8.

```
AlP2Pd8
1.0
3.660 -5.355 0.000
3.660 5.355 0.000
-1.146 0.000 4.226
Al P Pd
1 2 8
Cartesian
0.000 0.000 0.000
3.087 1.906 2.113
3.087 -1.906 2.113
0.749 1.377 2.498
3.660 2.781 0.000
0.749 -1.377 2.498
2.521 0.000 0.772
3.653 0.000 3.454
5.424 1.377 1.728
3.660 -2.781 0.000
5.424 -1.377 1.728
```

## Properties
E above lowest polymorph = 0.0000 eV/atom
Crystal system = monoclinic


[2]
DFT (PBE) results for an optimized crystal structure of AlPPd6.

```
AlPPd6
1.0
2.927 1.690 4.314
-2.927 1.690 4.314
0.000 -3.380 4.314
Al P Pd
1 1 6
Cartesian
0.000 0.000 0.000
0.000 0.000 6.471
-1.281 -1.600 5.426
-2.026 0.309 7.516
-0.745 1.909 5.426
0.745 -1.909 7.516
2.026 -0.309 5.426
1.281 1.600 7.516
```

## Properties
E_tot = -43.27 eV for the cell shown
Crystal system = trigonal


[3]
DFT (PBE) results for an optimized crystal structure of Al2PPd2.

```
Al2PPd2
1.0
7.366 0.000 0.000
0.000 7.366 0.000
0.000 0.000 2.843
Al P Pd
4 2 4
Cartesian
1.146 2.536 0.000
2.536 6.219 0.000
4.829 1.146 0.000
6.219 4.829 0.000
0.000 0.000 1.422
3.683 3.683 1.422
1.045 4.727 1.422
2.638 1.045 1.422
4.727 6.321 1.422
6.321 2.638 1.422
```

## Properties
E_tot = -51.00 eV for the cell shown
Crystal system = tetragonal


[4]
DFT (PBE) results for an optimized crystal structure of Al3PPd.

```
Al3PPd
1.0
4.694 0.000 0.000
0.000 4.694 0.000
0.000 0.000 4.694
Al P Pd
3 1 1
Cartesian
0.000 0.000 2.347
0.000 2.347 0.000
2.347 0.000 0.000
2.347 2.347 2.347
0.000 0.000 0.000
```

## Properties
E above lowest polymorph = 0.0000 eV/atom
Crystal system = cubic


[5]
DFT (PBE) results for an optimized crystal structure of AlP2Pd8.

```
AlP2Pd8
1.0
-1.799 3.598 6.501
1.799 -3.598 6.501
1.799 3.598 -6.501
Al P Pd
1 2 8
Cartesian
0.000 0.000 0.000
0.000 0.000 4.602
0.000 0.000 8.400
1.799 -1.464 4.293
1.799 0.000 1.820
1.799 2.131 0.000
0.000 2.133 2.208
1.799 1.464 4.293
0.000 1.467 6.501
0.000 3.598 4.681
0.000 5.062 2.208
```

## Properties
E above lowest polymorph = 0.0398 eV/atom
Crystal system = orthorhombic


[6]
DFT (PBE) results for an optimized crystal structure of Al2PPdRh.

```
Al2PPdRh
1.0
4.543 0.000 0.000
0.000 4.543 0.000
0.000 0.000 4.325
Al P Pd Rh
2 1 1 1
Cartesian
0.000 2.271 0.000
2.271 0.000 0.000
0.000 0.000 0.000
2.271 2.271 2.162
0.000 0.000 2.162
```

## Properties
E_tot = -24.30 eV for the cell shown
Crystal system = tetragonal


[7]
DFT (PBE) results for an optimized crystal structure of AlPPdRu2.

```
AlPPdRu2
1.0
4.453 0.000 0.000
0.000 4.453 0.000
0.000 0.000 4.380
Al P Pd Ru
1 1 1 2
Cartesian
0.000 0.000 0.000
0.000 0.000 2.190
2.227 2.227 2.190
0.000 2.227 0.000
2.227 0.000 0.000
```

## Properties
E_tot = -26.93 eV for the cell shown
Crystal system = tetragonal


[8]
DFT (PBE) results for an optimized crystal structure of AlPPdS2.

```
AlPPdS2
1.0
4.536 0.000 0.000
0.000 4.536 0.000
0.000 0.000 4.661
Al P Pd S
1 1 1 2
Cartesian
0.000 0.000 0.000
0.000 0.000 2.331
2.268 2.268 2.331
0.000 2.268 0.000
2.268 0.000 0.000
```

## Properties
E above lowest polymorph = 0.0000 eV/atom
Crystal system = tetragonal
E_form (uncorrected) = 0.47 eV/atom


Magnetization readings, ordered: 0.00, 0.00, 0.00, 0.00, 0.00, 0.00, 0.00, 0.00 μB per cell